VASP calculation (PBE) on LiHgTe2 after structural relaxation.

Density   6.84 g/cm3
DOS at the Fermi energy   2.59 states/eV/f.u.
Formation energy without anion corrections   -231 meV/atom
E   -2.3555 eV per atom
Magnetization   0.000 μB/f.u.

Lattice parameters (Å, degrees): 12.0760 12.0760 12.0760 15.70 15.70 15.70
Last column: nearest neighbours and their distance in Å.
Element x y z (fractional)
Hg1 0.7500 0.7500 0.7500  6 Hg 3.30
Li1 0.2500 0.2500 0.2500  6 Te 2.93
Te1 0.9790 0.9790 0.9790  3 Li 2.93
Te2 0.5210 0.5210 0.5210  3 Li 2.93



VASP calculation (PBE) on LiHg2Te after structural relaxation.

Density   8.59 g/cm3
DOS at the Fermi energy   3.12 states/eV/f.u.
Formation energy without anion corrections   -197 meV/atom
E   -1.6121 eV per atom
Magnetization   0.000 μB/f.u.

Lattice parameters (Å, degrees): 5.2709 5.2709 5.2709 60.00 60.00 60.00
Last column: nearest neighbours and their distance in Å.
Element x y z (fractional)
Hg1 0.0000 0.0000 0.0000  4 Hg 3.23, 4 Te 3.23
Hg2 0.2500 0.2500 0.2500  4 Hg 3.23, 4 Li 3.23
Li1 0.5000 0.5000 0.5000  4 Te 3.23, 4 Hg 3.23
Te1 0.7500 0.7500 0.7500  4 Li 3.23, 4 Hg 3.23



VASP calculation (PBE) on LiHgTe2 after structural relaxation.

Density   6.79 g/cm3
DOS at the Fermi energy   1.18 states/eV/f.u.
Formation energy without anion corrections   -194 meV/atom
E   -2.3182 eV per atom
Magnetization   0.000 μB/f.u.

Lattice parameters (Å, degrees): 6.5746 6.5746 6.5746 140.68 140.68 56.82
Last column: nearest neighbours and their distance in Å.
Element x y z (fractional)
Hg1 0.2500 0.7500 0.5000  4 Li 3.13
Li1 0.7500 0.2500 0.5000  4 Hg 3.13
Te1 0.0000 0.0000 0.0000  4 Te 3.13
Te2 0.5000 0.5000 0.0000  4 Te 3.13



VASP calculation (PBE) on LiHg2Te after structural relaxation.

Density   8.62 g/cm3
DOS at the Fermi energy   2.99 states/eV/f.u.
Formation energy without anion corrections   -205 meV/atom
E   -1.6194 eV per atom
Magnetization   0.000 μB/f.u.

Lattice parameters (Å, degrees): 9.8732 9.8732 9.8732 20.49 20.49 20.49
Last column: nearest neighbours and their distance in Å.
Element x y z (fractional)
Hg1 0.9966 0.9966 0.9966  9 Hg 3.33-3.51, 3 Te 3.58
Hg2 0.2387 0.2387 0.2387  3 Li 2.92
Li1 0.4998 0.4998 0.4998  3 Te 2.83, 3 Hg 2.92
Te1 0.7650 0.7650 0.7650  3 Li 2.83



VASP calculation (PBE) on Li2HgTe after structural relaxation.

Density   5.83 g/cm3
DOS at the Fermi energy   0.94 states/eV/f.u.
ΔE to the lowest computed polymorph   1.22 eV/f.u.
Formation energy without anion corrections   -343 meV/atom
E   -2.1611 eV per atom
Magnetization   0.000 μB/f.u.

Lattice parameters (Å, degrees): 5.1661 5.1661 5.1661 60.00 60.00 60.00
Last column: nearest neighbours and their distance in Å.
Element x y z (fractional)
Hg1 0.5000 0.5000 0.5000  4 Li 3.16, 4 Te 3.16
Li1 0.0000 0.0000 0.0000  4 Te 3.16, 4 Li 3.16
Li2 0.2500 0.2500 0.2500  4 Hg 3.16, 4 Li 3.16
Te1 0.7500 0.7500 0.7500  4 Li 3.16, 4 Hg 3.16



VASP calculation (PBE) on LiHg2Te after structural relaxation.

Density   8.21 g/cm3
DOS at the Fermi energy   1.02 states/eV/f.u.
Formation energy without anion corrections   -267 meV/atom
E   -1.6817 eV per atom
Magnetization   0.000 μB/f.u.

Lattice parameters (Å, degrees): 4.8267 7.2901 3.3563 77.61 87.28 108.67
Last column: nearest neighbours and their distance in Å.
Element x y z (fractional)
Hg1 0.0000 0.0000 0.0000  4 Hg 2.87-3.00
Hg2 0.5000 0.0000 0.5000  4 Hg 2.87-3.00
Li1 0.0000 0.5000 0.5000  4 Te 2.87-3.00
Te1 0.5000 0.5000 0.0000  4 Li 2.87-3.00



VASP calculation (PBE) on LiHg2Te after structural relaxation.

Density   7.89 g/cm3
DOS at the Fermi energy   1.17 states/eV/f.u.
Formation energy without anion corrections   -287 meV/atom
E   -1.7016 eV per atom
Magnetization   0.000 μB/f.u.

Lattice parameters (Å, degrees): 4.8394 4.8394 7.8240 77.39 77.39 39.21
Last column: nearest neighbours and their distance in Å.
Element x y z (fractional)
Hg1 0.0259 0.0259 0.9964  5 Hg 3.18-3.25, 1 Te 3.30
Hg2 0.7997 0.7997 0.7426  2 Li 2.93, 5 Hg 3.18-3.25
Li1 0.4636 0.4636 0.4480  3 Te 2.75-2.78, 2 Hg 2.93
Te1 0.2109 0.2109 0.3130  3 Li 2.75-2.78



VASP calculation (PBE) on Li2HgTe after structural relaxation.

Density   6.36 g/cm3
DOS at the Fermi energy   0.00 states/eV/f.u.
ΔE to the lowest computed polymorph   0.05 eV/f.u.
Formation energy without anion corrections   -636 meV/atom
E   -2.4543 eV per atom
Magnetization   0.000 μB/f.u.

Lattice parameters (Å, degrees): 5.0174 5.0174 5.0174 60.00 60.00 60.00
Last column: nearest neighbours and their distance in Å.
Element x y z (fractional)
Te1 0.0000 0.0000 0.0000  8 Li 3.07
Hg1 0.5000 0.5000 0.5000  8 Li 3.07
Li1 0.2500 0.2500 0.2500  4 Hg 3.07, 4 Te 3.07
Li2 0.7500 0.7500 0.7500  4 Hg 3.07, 4 Te 3.07